This record from Alexandria via LeMat-Bulk describes CsV3Cu after structural relaxation. The functional is PBE.

DOS(E_F): 11.1 states/eV/f.u.
E_form: 2.721 eV per atom
total DFT energy (no corrections): -0.13744 Ha/atom
magnetization: 0.4 μB per formula unit
excess energy over the best structure of this formula in the dataset: 1.183 eV per atom

Lattice parameters (Å, degrees): 4.7306 4.7306 4.7306 90.00 90.00 90.00
Each line ends with the local moment (μB).
Fractional coordinates of all 5 atoms:
Cs  0.0000  0.0000  0.0000  0.01
Cu  0.5000  0.5000  0.5000  -0.01
V  0.0000  0.5000  0.0000  -0.13
V  0.0000  0.0000  0.5000  -0.13
V  0.5000  0.0000  0.0000  -0.13